Entry from the Alexandria database: a geometry-optimized Sc3TaH structure (GGA-PBEsol).

Unit cell a=4.379 b=4.379 c=4.379 alpha=90.00 beta=90.00 gamma=90.00
Fractional coordinates of all 5 atoms:
Sc 0.000 0.500 0.000
Sc 0.000 0.000 0.500
Sc 0.500 0.000 0.000
H 0.000 0.000 0.000
Ta 0.500 0.500 0.500

- DFT total energy (Ha/atom) = -0.264